[1]
InSiAgSe4 | PBE | relaxed

abc: 6.813 6.813 6.813
angles: 126.25 126.25 79.47
Element x y z (fractional)
1 In 0.000 0.000 0.000
2 Si 0.750 0.250 0.500
3 Ag 0.500 0.500 0.000
4 Se 0.086 0.590 0.966
5 Se 0.410 0.376 0.496
6 Se 0.624 0.120 0.034
7 Se 0.880 0.914 0.504

Calculated values
DFT total energy = -3.993 eV/atom

[2]
SmInAg2Se4 | PBE | relaxed

abc: 8.197 8.197 8.197
angles: 121.46 117.33 91.08
Element x y z (fractional)
1 Sm 0.000 0.000 0.000
2 Sm 0.500 0.000 0.500
3 In 0.500 0.000 0.000
4 In 0.500 0.500 0.500
5 Ag 0.000 0.000 0.500
6 Ag 0.000 0.500 0.000
7 Ag 0.000 0.500 0.500
8 Ag 0.500 0.500 0.000
9 Se 0.237 0.239 0.501
10 Se 0.237 0.736 0.999
11 Se 0.269 0.744 0.525
12 Se 0.281 0.256 0.025
13 Se 0.719 0.744 0.975
14 Se 0.731 0.256 0.475
15 Se 0.763 0.264 0.001
16 Se 0.763 0.761 0.499

Calculated values
DFT total energy = -4.110 eV/atom